DFT (GGA-PBE) results for crystalline InCuPdPb at its relaxed geometry.

Unit cell a=4.812 b=4.812 c=4.812 alpha=60.00 beta=60.00 gamma=60.00
Element x y z (fractional)
In 0.000 0.000 0.000
Cu 0.250 0.250 0.250
Pd 0.750 0.750 0.750
Pb 0.500 0.500 0.500

## Properties
Its calculated volume is 19.7 A^3/atom. The energy above the most stable polymorph in this dataset is 0.0 meV per atom.

***

DFT (GGA-PBE) results for crystalline YTcPd at its relaxed geometry.

Unit cell a=4.568 b=4.568 c=4.568 alpha=60.00 beta=60.00 gamma=60.00
Element x y z (fractional)
Y 0.000 0.000 0.000
Tc 0.250 0.250 0.250
Pd 0.750 0.750 0.750

## Properties
The calculation puts the formation energy from the elements at 73 kJ/mol of atoms. Its calculated volume is 22.5 A^3/atom. The value obtained for the magnetization is 2.31 μB/f.u. The energy above the most stable polymorph in this dataset is 466.3 meV per atom.

***

DFT (GGA-PBE) results for crystalline SmAgPO at its relaxed geometry.

Unit cell a=4.043 b=4.043 c=8.674 alpha=90.00 beta=90.00 gamma=90.00
Element x y z (fractional)
Sm 0.250 0.250 0.131
Sm 0.750 0.750 0.869
Ag 0.250 0.750 0.500
Ag 0.750 0.250 0.500
P 0.250 0.250 0.685
P 0.750 0.750 0.315
O 0.250 0.750 0.000
O 0.750 0.250 0.000

## Properties
Its calculated volume is 17.7 A^3/atom. The value obtained for the magnetization is 0.01 μB/f.u. The energy above the most stable polymorph in this dataset is 0.0 meV per atom.